1.
A plane-wave DFT calculation with SCAN was carried out for a crystal of LiSiAs2 relaxed with PBEsol. Values from VASP.

Cell and atoms, written as Quantum ESPRESSO input:
```
&SYSTEM
  ibrav = 0, nat = 8, ntyp = 3
/
ATOMIC_SPECIES
As 74.92 As.upf
Si 28.09 Si.upf
Li 6.94 Li.upf
ATOMIC_POSITIONS angstrom
As -4.6712 -6.9345 1.5913
As -4.7368 -3.4457 -1.2324
As -2.1282 -0.4974 -0.8766
As -6.5991 -0.2992 -0.5279
Si -6.6637 -2.6237 -0.1570
Si 0.0000 0.0000 0.0000
Li -2.4039 -2.9647 -0.3658
Li -4.2598 0.3410 0.2088
CELL_PARAMETERS angstrom
-4.1271 3.6543 -2.4950
-0.5480 -6.2704 -0.9404
-4.3925 -2.9723 2.9125
```

Properties
- total magnetization (μB/cell) = 0.0
- V (Å³/atom) = 21.561
- VASP energy (eV per cell) = -106.80
- formation energy without anion corrections (eV/atom) = -0.153

2.
A plane-wave DFT calculation with SCAN was carried out for a crystal of Be2TlAg relaxed with PBEsol. Values from VASP.

Cell and atoms, written as Quantum ESPRESSO input:
```
&SYSTEM
  ibrav = 0, nat = 4, ntyp = 3
/
ATOMIC_SPECIES
Be 9.01 Be.upf
Tl 204.38 Tl.upf
Ag 107.87 Ag.upf
ATOMIC_POSITIONS angstrom
Be 2.0630 1.3556 4.4406
Be 0.0000 1.2146 0.2230
Tl 0.0000 -0.4955 2.2411
Ag 2.0630 0.0000 0.0000
CELL_PARAMETERS angstrom
4.1260 0.0000 0.0000
-2.0630 3.5613 0.1815
0.0000 -0.9910 4.4821
```

Properties
- total magnetization (μB/cell) = 0.0
- V (Å³/atom) = 16.650
- VASP energy (eV per cell) = -111.12
- formation enthalpy at 0 K (eV per atom) = 0.328

3.
A plane-wave DFT calculation with SCAN was carried out for a crystal of Cr4SiNi relaxed with PBEsol. Values from VASP.

Cell and atoms, written as Quantum ESPRESSO input:
```
&SYSTEM
  ibrav = 0, nat = 6, ntyp = 3
/
ATOMIC_SPECIES
Cr 52.00 Cr.upf
Ni 58.69 Ni.upf
Si 28.09 Si.upf
ATOMIC_POSITIONS angstrom
Cr -3.8822 0.0137 -1.6926
Cr -6.0945 -0.4940 -1.3213
Cr -5.5329 1.3371 -2.5947
Cr -5.1835 -0.7837 -3.4133
Ni -7.7599 0.0274 -3.3832
Si 0.0000 0.0000 0.0000
CELL_PARAMETERS angstrom
-3.3071 2.6514 -1.8073
-2.6071 -1.5976 -3.4474
-4.4323 -1.0173 0.7438
```

Properties
- total magnetization (μB/cell) = 0.0
- V (Å³/atom) = 11.531
- VASP energy (eV per cell) = -97.91
- formation energy without anion corrections (eV/atom) = 0.303

4.
A plane-wave DFT calculation with SCAN was carried out for a crystal of VOF relaxed with PBEsol. Values from VASP.

Cell and atoms, written as Quantum ESPRESSO input:
```
&SYSTEM
  ibrav = 0, nat = 12, ntyp = 3
/
ATOMIC_SPECIES
V 50.94 V.upf
O 16.00 O.upf
F 19.00 F.upf
ATOMIC_POSITIONS angstrom
V 2.2085 3.5632 2.1062
V 0.0712 3.5226 4.8958
V 4.4881 1.3965 0.8192
V 2.3508 1.3559 3.6088
O 1.0682 2.9060 0.7751
O 1.2115 2.8654 3.5646
O 3.3478 2.0538 2.1504
O 3.4911 2.0131 4.9399
F 3.4878 4.5805 0.8122
F 3.3511 4.5399 3.6017
F 1.2082 0.3793 2.1133
F 1.0715 0.3387 4.9028
CELL_PARAMETERS angstrom
4.5593 0.0000 0.0000
0.0000 5.0004 0.1358
0.0000 -0.0812 5.5792
```

Properties
- total magnetization (μB/cell) = 8.0
- V (Å³/atom) = 10.604
- VASP energy (eV per cell) = -144.08
- formation energy without anion corrections (eV/atom) = -2.920